No. 1
This record from Alexandria describes MgNiAs after structural relaxation. The functional is PBE-GGA.

Unit cell a=3.932 b=6.343 c=6.343 alpha=120.00 beta=90.00 gamma=90.00
Sites, in units of the cell vectors:
Mg 0.500 0.426 0.426
Mg 0.500 0.000 0.574
Mg 0.500 0.574 0.000
Ni 0.000 0.763 0.763
Ni 0.000 0.000 0.237
Ni 0.000 0.237 0.000
As 0.000 0.333 0.667
As 0.000 0.667 0.333
As 0.500 0.000 0.000

Values from the calculation:
magnetic moment: 0.000 μB per formula unit
calculated formation energy: -0.45 eV per atom
DOS at the Fermi energy: 0.36 states/eV/atom

No. 2
This record from Alexandria describes MgNi3As after structural relaxation. The functional is PBE-GGA.

Unit cell a=4.345 b=4.345 c=4.345 alpha=90.00 beta=90.00 gamma=90.00
Sites, in units of the cell vectors:
Ni 0.000 0.500 0.000
Ni 0.000 0.000 0.500
Ni 0.500 0.000 0.000
As 0.000 0.000 0.000
Mg 0.500 0.500 0.500

Values from the calculation:
energy above the lowest structure with this stoichiometry: 242.0 meV/atom
magnetic moment: 0.000 μB per formula unit
calculated formation energy: 0.11 eV per atom
DOS at the Fermi energy: 0.94 states/eV/atom

No. 3
This record from Alexandria describes Mg2NiAs after structural relaxation. The functional is PBE-GGA.

Unit cell a=3.746 b=3.890 c=5.233 alpha=68.30 beta=90.00 gamma=90.00
Sites, in units of the cell vectors:
As 0.500 0.556 0.762
Mg 0.000 0.976 0.925
Mg 0.500 0.271 0.332
Ni 0.000 0.697 0.482

Values from the calculation:
magnetic moment: 0.000 μB per formula unit
calculated formation energy: -0.34 eV per atom
DOS at the Fermi energy: 0.63 states/eV/atom

No. 4
This record from Alexandria describes MgNiAs after structural relaxation. The functional is PBE-GGA.

Unit cell a=4.098 b=4.099 c=6.990 alpha=107.09 beta=107.09 gamma=60.08
Sites, in units of the cell vectors:
Ni 0.121 0.697 0.928
Ni 0.393 0.969 0.744
Mg 0.986 0.562 0.523
Mg 0.528 0.104 0.149
As 0.257 0.833 0.336
As 0.757 0.333 0.836

Values from the calculation:
magnetic moment: 0.000 μB per formula unit
calculated formation energy: -0.45 eV per atom
DOS at the Fermi energy: 0.53 states/eV/atom

No. 5
This record from Alexandria describes Mg4NiAs after structural relaxation. The functional is PBE-GGA.

Unit cell a=5.526 b=5.526 c=5.526 alpha=60.00 beta=60.00 gamma=60.00
Sites, in units of the cell vectors:
Mg 0.874 0.375 0.375
Mg 0.375 0.375 0.874
Mg 0.375 0.874 0.375
Mg 0.375 0.375 0.375
Ni 0.750 0.750 0.750
As 0.000 0.000 0.000

Values from the calculation:
magnetic moment: 0.000 μB per formula unit
calculated formation energy: 0.31 eV per atom
DOS at the Fermi energy: 0.54 states/eV/atom

No. 6
This record from Alexandria describes Mg2Ni21As6 after structural relaxation. The functional is PBE-GGA.

Unit cell a=8.077 b=8.077 c=8.077 alpha=60.00 beta=60.00 gamma=60.00
Sites, in units of the cell vectors:
Mg 0.750 0.750 0.750
Mg 0.250 0.250 0.250
Ni 0.000 0.000 0.000
Ni 0.619 0.619 0.143
Ni 0.619 0.619 0.619
Ni 0.619 0.143 0.619
Ni 0.143 0.619 0.619
Ni 0.381 0.381 0.857
Ni 0.381 0.381 0.381
Ni 0.381 0.857 0.381
Ni 0.857 0.381 0.381
Ni 0.647 0.000 0.353
Ni 0.000 0.647 0.353
Ni 0.000 0.000 0.353
Ni 0.000 0.647 0.000
Ni 0.647 0.000 0.000
Ni 0.000 0.000 0.647
Ni 0.000 0.353 0.000
Ni 0.000 0.353 0.647
Ni 0.647 0.353 0.000
Ni 0.353 0.000 0.647
Ni 0.353 0.000 0.000
Ni 0.353 0.647 0.000
As 0.264 0.736 0.264
As 0.736 0.264 0.264
As 0.736 0.736 0.264
As 0.736 0.264 0.736
As 0.264 0.736 0.736
As 0.264 0.264 0.736

Values from the calculation:
magnetic moment: 0.001 μB per formula unit
calculated formation energy: -0.15 eV per atom
DOS at the Fermi energy: 0.72 states/eV/atom

No. 7
This record from Alexandria describes MgNi4As2 after structural relaxation. The functional is PBE-GGA.

Unit cell a=3.718 b=7.185 c=7.185 alpha=90.00 beta=90.00 gamma=90.00
Sites, in units of the cell vectors:
Mg 0.500 0.000 0.000
Mg 0.000 0.500 0.500
Ni 0.000 0.080 0.336
Ni 0.000 0.920 0.664
Ni 0.500 0.164 0.580
Ni 0.500 0.836 0.420
Ni 0.500 0.420 0.836
Ni 0.500 0.580 0.164
Ni 0.000 0.336 0.080
Ni 0.000 0.664 0.920
As 0.000 0.227 0.773
As 0.000 0.773 0.227
As 0.500 0.727 0.727
As 0.500 0.273 0.273

Values from the calculation:
magnetic moment: 0.000 μB per formula unit
calculated formation energy: -0.33 eV per atom
DOS at the Fermi energy: 0.59 states/eV/atom

No. 8
This record from Alexandria describes MgNi5As2 after structural relaxation. The functional is PBE-GGA.

Unit cell a=3.499 b=5.977 c=5.977 alpha=68.31 beta=72.98 gamma=72.98
Sites, in units of the cell vectors:
Mg 0.000 0.000 0.000
Ni 0.000 0.500 0.500
Ni 0.640 0.555 0.165
Ni 0.360 0.445 0.835
Ni 0.360 0.835 0.445
Ni 0.640 0.165 0.555
As 0.748 0.752 0.752
As 0.252 0.248 0.248

Values from the calculation:
magnetic moment: 0.000 μB per formula unit
calculated formation energy: -0.27 eV per atom
DOS at the Fermi energy: 0.64 states/eV/atom